# PBE-GGA YOs2W, relaxed
data_YOs2W
_cell_length_a 7.366
_cell_length_b 7.366
_cell_length_c 5.794
_cell_angle_alpha 90.00
_cell_angle_beta 90.00
_cell_angle_gamma 90.00
_space_group_name_H-M_alt 'I -4 2 d'
_space_group_IT_number 122
_space_group_name_Hall 'I -4 2bw'
loop_
_atom_site_label
_atom_site_type_symbol
_atom_site_fract_x
_atom_site_fract_y
_atom_site_fract_z
Y1 Y 0.000 0.000 0.000
Os1 Os 0.202 0.750 0.625
W1 W 0.000 0.000 0.500
# Energy relative to the lowest polymorph listed for this composition in meV/atom: 568
# Energy of formation from the pure elements in kJ per mole of atoms: 57.58


# PBE-GGA Ce2ErSn2, relaxed
data_Ce2ErSn2
_cell_length_a 5.675
_cell_length_b 15.949
_cell_length_c 3.476
_cell_angle_alpha 90.00
_cell_angle_beta 90.00
_cell_angle_gamma 90.00
_space_group_name_H-M_alt 'C m m m'
_space_group_IT_number 65
_space_group_name_Hall '-C 2 2'
loop_
_atom_site_label
_atom_site_type_symbol
_atom_site_fract_x
_atom_site_fract_y
_atom_site_fract_z
Ce1 Ce 0.000 0.163 0.000
Er1 Er 0.000 0.500 0.000
Sn1 Sn 0.000 0.340 0.500
# Energy relative to the lowest polymorph listed for this composition in meV/atom: 228
# Energy of formation from the pure elements in kJ per mole of atoms: -31.52


# PBE-GGA Th3AlGa2Cu6, relaxed
data_Th3AlGa2Cu6
_cell_length_a 5.7375
_cell_length_b 5.7375
_cell_length_c 8.1820
_cell_angle_alpha 90.00
_cell_angle_beta 90.00
_cell_angle_gamma 120.00
_space_group_name_H-M_alt 'P -3 m 1'
_space_group_IT_number 164
_space_group_name_Hall '-P 3 2"'
loop_
_atom_site_label
_atom_site_type_symbol
_atom_site_fract_x
_atom_site_fract_y
_atom_site_fract_z
Th1 Th 0.0000 0.0000 0.0000
Th2 Th 0.3333 0.6667 0.6294
Al1 Al 0.0000 0.0000 0.5000
Ga1 Ga 0.3333 0.6667 0.0249
Cu1 Cu 0.1841 0.3681 0.2815
# Energy of formation from the pure elements in kJ per mole of atoms: -11.58


# PBE-GGA Mn2IrSe, relaxed
data_Mn2IrSe
_cell_length_a 2.8807
_cell_length_b 2.8807
_cell_length_c 24.5399
_cell_angle_alpha 90.00
_cell_angle_beta 90.00
_cell_angle_gamma 120.00
_space_group_name_H-M_alt 'R 3 m'
_space_group_IT_number 160
_space_group_name_Hall 'R 3 -2"'
loop_
_atom_site_label
_atom_site_type_symbol
_atom_site_fract_x
_atom_site_fract_y
_atom_site_fract_z
Mn1 Mn 0.0000 0.0000 0.0000
Mn2 Mn 0.0000 0.0000 0.2512
Ir1 Ir 0.0000 0.0000 0.5070
Se1 Se 0.0000 0.0000 0.7357
# Total DFT energy (no corrections) in eV/atom: -7.4244


# PBE-GGA ScCr2Rh, relaxed
data_ScCr2Rh
_cell_length_a 3.161
_cell_length_b 4.536
_cell_length_c 8.395
_cell_angle_alpha 90.00
_cell_angle_beta 90.00
_cell_angle_gamma 90.00
_space_group_name_H-M_alt 'I m m 2'
_space_group_IT_number 44
_space_group_name_Hall 'I 2 -2'
loop_
_atom_site_label
_atom_site_type_symbol
_atom_site_fract_x
_atom_site_fract_y
_atom_site_fract_z
Sc1 Sc 0.000 0.000 0.000
Cr1 Cr 0.000 0.000 0.486
Cr2 Cr 0.000 0.500 0.775
Rh1 Rh 0.000 0.500 0.241
# Energy relative to the lowest polymorph listed for this composition in meV/atom: 139
# Energy of formation from the pure elements in kJ per mole of atoms: -1.51


# PBE-GGA GaPt3C, relaxed
data_GaPt3C
_cell_length_a 4.626
_cell_length_b 4.626
_cell_length_c 4.626
_cell_angle_alpha 90.00
_cell_angle_beta 90.00
_cell_angle_gamma 90.00
_space_group_name_H-M_alt 'P m -3 m'
_space_group_IT_number 221
_space_group_name_Hall '-P 4 2 3'
loop_
_atom_site_label
_atom_site_type_symbol
_atom_site_fract_x
_atom_site_fract_y
_atom_site_fract_z
Ga1 Ga 0.000 0.000 0.000
Pt1 Pt 0.000 0.000 0.500
C1 C 0.500 0.500 0.500
# Energy relative to the lowest polymorph listed for this composition in meV/atom: 1602
# Energy of formation from the pure elements in kJ per mole of atoms: 186.77


# PBE-GGA La4BiRh2, relaxed
data_La4BiRh2
_cell_length_a 12.791
_cell_length_b 14.362
_cell_length_c 9.105
_cell_angle_alpha 90.00
_cell_angle_beta 90.00
_cell_angle_gamma 90.00
_space_group_name_H-M_alt 'F d d 2'
_space_group_IT_number 43
_space_group_name_Hall 'F 2 -2d'
loop_
_atom_site_label
_atom_site_type_symbol
_atom_site_fract_x
_atom_site_fract_y
_atom_site_fract_z
La1 La 0.055 0.117 0.000
La2 La 0.122 0.192 0.581
Bi1 Bi 0.000 0.000 0.663
Rh1 Rh 0.072 0.175 0.288
# Energy of formation from the pure elements in kJ per mole of atoms: -65.81


# PBE-GGA Mn2InW, relaxed
data_Mn2InW
_cell_length_a 9.793
_cell_length_b 3.164
_cell_length_c 4.374
_cell_angle_alpha 90.00
_cell_angle_beta 116.23
_cell_angle_gamma 90.00
_space_group_name_H-M_alt 'C 1 m 1'
_space_group_IT_number 8
_space_group_name_Hall 'C -2y'
loop_
_atom_site_label
_atom_site_type_symbol
_atom_site_fract_x
_atom_site_fract_y
_atom_site_fract_z
Mn1 Mn 0.000 0.000 0.000
Mn2 Mn 0.242 0.500 0.242
In1 In 0.236 0.000 0.736
W1 W 0.463 0.000 0.462
# Energy of formation from the pure elements in kJ per mole of atoms: 33.45


# PBE-GGA Ca2H2Os, relaxed
data_Ca2H2Os
_cell_length_a 6.687
_cell_length_b 6.687
_cell_length_c 3.288
_cell_angle_alpha 90.00
_cell_angle_beta 90.00
_cell_angle_gamma 90.00
_space_group_name_H-M_alt 'P 4/m b m'
_space_group_IT_number 127
_space_group_name_Hall '-P 4 2ab'
loop_
_atom_site_label
_atom_site_type_symbol
_atom_site_fract_x
_atom_site_fract_y
_atom_site_fract_z
Ca1 Ca 0.177 0.323 0.000
H1 H 0.150 0.650 0.500
Os1 Os 0.000 0.000 0.500
# Energy relative to the lowest polymorph listed for this composition in meV/atom: 339


# PBE-GGA TaAlAu2, relaxed
data_TaAlAu2
_cell_length_a 5.817
_cell_length_b 8.158
_cell_length_c 2.946
_cell_angle_alpha 90.00
_cell_angle_beta 90.00
_cell_angle_gamma 90.00
_space_group_name_H-M_alt 'C m m m'
_space_group_IT_number 65
_space_group_name_Hall '-C 2 2'
loop_
_atom_site_label
_atom_site_type_symbol
_atom_site_fract_x
_atom_site_fract_y
_atom_site_fract_z
Ta1 Ta 0.000 0.000 0.000
Al1 Al 0.000 0.500 0.000
Au1 Au 0.250 0.250 0.500
# Energy of formation from the pure elements in kJ per mole of atoms: -3.27


# PBE-GGA La2NdBi, relaxed
data_La2NdBi
_cell_length_a 4.1432
_cell_length_b 4.1432
_cell_length_c 33.0759
_cell_angle_alpha 90.00
_cell_angle_beta 90.00
_cell_angle_gamma 120.00
_space_group_name_H-M_alt 'R -3 m'
_space_group_IT_number 166
_space_group_name_Hall '-R 3 2"'
loop_
_atom_site_label
_atom_site_type_symbol
_atom_site_fract_x
_atom_site_fract_y
_atom_site_fract_z
La1 La 0.0000 0.0000 0.1023
Nd1 Nd 0.0000 0.0000 0.0000
Bi1 Bi 0.0000 0.0000 0.5000
# Energy relative to the lowest polymorph listed for this composition in meV/atom: 456
# Energy of formation from the pure elements in kJ per mole of atoms: -3.40


# PBE-GGA PrY7Er5, relaxed
data_PrY7Er5
_cell_length_a 6.674
_cell_length_b 11.166
_cell_length_c 11.595
_cell_angle_alpha 90.00
_cell_angle_beta 90.00
_cell_angle_gamma 90.00
_space_group_name_H-M_alt 'I m m 2'
_space_group_IT_number 44
_space_group_name_Hall 'I 2 -2'
loop_
_atom_site_label
_atom_site_type_symbol
_atom_site_fract_x
_atom_site_fract_y
_atom_site_fract_z
Pr1 Pr 0.000 0.000 0.000
Y1 Y 0.000 0.000 0.302
Y2 Y 0.000 0.000 0.612
Y3 Y 0.000 0.326 0.055
Y4 Y 0.000 0.331 0.556
Y5 Y 0.000 0.500 0.300
Er1 Er 0.000 0.500 0.810
Er2 Er 0.235 0.230 0.804
# Energy of formation from the pure elements in kJ per mole of atoms: 22.99


# PBE-GGA Nd2SnBRh6, relaxed
data_Nd2SnBRh6
_cell_length_a 5.756
_cell_length_b 5.757
_cell_length_c 7.116
_cell_angle_alpha 67.81
_cell_angle_beta 67.70
_cell_angle_gamma 61.00
_space_group_name_H-M_alt 'P -1'
_space_group_IT_number 2
_space_group_name_Hall '-P 1'
loop_
_atom_site_label
_atom_site_type_symbol
_atom_site_fract_x
_atom_site_fract_y
_atom_site_fract_z
Nd1 Nd 0.238 0.240 0.310
Sn1 Sn 0.500 0.500 0.500
B1 B 0.000 0.000 0.000
Rh1 Rh 0.219 0.686 0.844
Rh2 Rh 0.226 0.224 0.802
Rh3 Rh 0.311 0.783 0.158
# Energy of formation from the pure elements in kJ per mole of atoms: -51.60


# PBE-GGA Ti8Sn3Au2, relaxed
data_Ti8Sn3Au2
_cell_length_a 5.4033
_cell_length_b 5.4033
_cell_length_c 29.9774
_cell_angle_alpha 90.00
_cell_angle_beta 90.00
_cell_angle_gamma 120.00
_space_group_name_H-M_alt 'R -3 m'
_space_group_IT_number 166
_space_group_name_Hall '-R 3 2"'
loop_
_atom_site_label
_atom_site_type_symbol
_atom_site_fract_x
_atom_site_fract_y
_atom_site_fract_z
Ti1 Ti 0.0000 0.0000 0.2217
Ti2 Ti 0.0020 0.5010 0.2732
Sn1 Sn 0.0000 0.0000 0.3116
Sn2 Sn 0.0000 0.0000 0.5000
Au1 Au 0.0000 0.0000 0.1345
# Energy of formation from the pure elements in kJ per mole of atoms: -1.35


# PBE-GGA CsBa2Ca2, relaxed
data_CsBa2Ca2
_cell_length_a 11.902
_cell_length_b 11.902
_cell_length_c 4.450
_cell_angle_alpha 90.00
_cell_angle_beta 90.00
_cell_angle_gamma 90.00
_space_group_name_H-M_alt 'P 4/m b m'
_space_group_IT_number 127
_space_group_name_Hall '-P 4 2ab'
loop_
_atom_site_label
_atom_site_type_symbol
_atom_site_fract_x
_atom_site_fract_y
_atom_site_fract_z
Cs1 Cs 0.000 0.000 0.000
Ba1 Ba 0.176 0.324 0.500
Ca1 Ca 0.113 0.613 0.000
# Energy relative to the lowest polymorph listed for this composition in meV/atom: 0
# Energy of formation from the pure elements in kJ per mole of atoms: 15.57


# PBE-GGA SmLuTlCd, relaxed
data_SmLuTlCd
_cell_length_a 7.548
_cell_length_b 7.548
_cell_length_c 7.548
_cell_angle_alpha 90.00
_cell_angle_beta 90.00
_cell_angle_gamma 90.00
_space_group_name_H-M_alt 'F -4 3 m'
_space_group_IT_number 216
_space_group_name_Hall 'F -4 2 3'
loop_
_atom_site_label
_atom_site_type_symbol
_atom_site_fract_x
_atom_site_fract_y
_atom_site_fract_z
Sm1 Sm 0.000 0.000 0.000
Lu1 Lu 0.000 0.000 0.500
Tl1 Tl 0.250 0.250 0.250
Cd1 Cd 0.250 0.250 0.750
# Energy of formation from the pure elements in kJ per mole of atoms: -30.57


# PBE-GGA BaReRh, relaxed
data_BaReRh
_cell_length_a 5.276
_cell_length_b 4.258
_cell_length_c 6.818
_cell_angle_alpha 90.00
_cell_angle_beta 90.08
_cell_angle_gamma 90.00
_space_group_name_H-M_alt 'P 1 m 1'
_space_group_IT_number 6
_space_group_name_Hall 'P -2y'
loop_
_atom_site_label
_atom_site_type_symbol
_atom_site_fract_x
_atom_site_fract_y
_atom_site_fract_z
Ba1 Ba 0.000 0.000 0.000
Ba2 Ba 0.500 0.500 0.236
Re1 Re 0.496 0.000 0.598
Re2 Re 0.996 0.000 0.542
Rh1 Rh 0.245 0.500 0.683
Rh2 Rh 0.748 0.500 0.684
# Energy relative to the lowest polymorph listed for this composition in meV/atom: 203
# Energy of formation from the pure elements in kJ per mole of atoms: 31.40


# PBE-GGA Tc4Pb, relaxed
data_Tc4Pb
_cell_length_a 5.937
_cell_length_b 5.937
_cell_length_c 5.937
_cell_angle_alpha 90.00
_cell_angle_beta 90.00
_cell_angle_gamma 90.00
_space_group_name_H-M_alt 'I m -3 m'
_space_group_IT_number 229
_space_group_name_Hall '-I 4 2 3'
loop_
_atom_site_label
_atom_site_type_symbol
_atom_site_fract_x
_atom_site_fract_y
_atom_site_fract_z
Tc1 Tc 0.250 0.250 0.250
Pb1 Pb 0.000 0.000 0.000
# Energy relative to the lowest polymorph listed for this composition in meV/atom: 0
# Energy of formation from the pure elements in kJ per mole of atoms: 214.81


# PBE-GGA Zr2TiVPt, relaxed
data_Zr2TiVPt
_cell_length_a 4.756
_cell_length_b 4.756
_cell_length_c 4.696
_cell_angle_alpha 90.00
_cell_angle_beta 90.00
_cell_angle_gamma 90.00
_space_group_name_H-M_alt 'P 4/m m m'
_space_group_IT_number 123
_space_group_name_Hall '-P 4 2'
loop_
_atom_site_label
_atom_site_type_symbol
_atom_site_fract_x
_atom_site_fract_y
_atom_site_fract_z
Zr1 Zr 0.000 0.500 0.000
Ti1 Ti 0.000 0.000 0.500
V1 V 0.500 0.500 0.000
Pt1 Pt 0.500 0.500 0.500
# Energy of formation from the pure elements in kJ per mole of atoms: 48.72


# PBE-GGA Ho2Ga3Co2, relaxed
data_Ho2Ga3Co2
_cell_length_a 9.829
_cell_length_b 3.985
_cell_length_c 6.861
_cell_angle_alpha 90.00
_cell_angle_beta 115.16
_cell_angle_gamma 90.00
_space_group_name_H-M_alt 'C 1 2/m 1'
_space_group_IT_number 12
_space_group_name_Hall '-C 2y'
loop_
_atom_site_label
_atom_site_type_symbol
_atom_site_fract_x
_atom_site_fract_y
_atom_site_fract_z
Ho1 Ho 0.145 0.000 0.275
Ga1 Ga 0.000 0.500 0.500
Ga2 Ga 0.140 0.500 0.946
Co1 Co 0.131 0.000 0.698
# Energy of formation from the pure elements in kJ per mole of atoms: -49.69


# PBE-GGA SmTh3Ir8, relaxed
data_SmTh3Ir8
_cell_length_a 5.4437
_cell_length_b 5.4437
_cell_length_c 26.6731
_cell_angle_alpha 90.00
_cell_angle_beta 90.00
_cell_angle_gamma 120.00
_space_group_name_H-M_alt 'R 3 m'
_space_group_IT_number 160
_space_group_name_Hall 'R 3 -2"'
loop_
_atom_site_label
_atom_site_type_symbol
_atom_site_fract_x
_atom_site_fract_y
_atom_site_fract_z
Sm1 Sm 0.0000 0.0000 0.0000
Th1 Th 0.0000 0.0000 0.1242
Th2 Th 0.0000 0.0000 0.5021
Th3 Th 0.0000 0.0000 0.6278
Ir1 Ir 0.0000 0.0000 0.3136
Ir2 Ir 0.0000 0.0000 0.8134
Ir3 Ir 0.0018 0.5009 0.0636
Ir4 Ir 0.1671 0.3342 0.8966
# Energy of formation from the pure elements in kJ per mole of atoms: -77.01


# PBE-GGA CaCeInBi, relaxed
data_CaCeInBi
_cell_length_a 7.840
_cell_length_b 7.840
_cell_length_c 7.840
_cell_angle_alpha 90.00
_cell_angle_beta 90.00
_cell_angle_gamma 90.00
_space_group_name_H-M_alt 'F -4 3 m'
_space_group_IT_number 216
_space_group_name_Hall 'F -4 2 3'
loop_
_atom_site_label
_atom_site_type_symbol
_atom_site_fract_x
_atom_site_fract_y
_atom_site_fract_z
Ca1 Ca 0.000 0.000 0.000
Ce1 Ce 0.000 0.000 0.500
In1 In 0.250 0.250 0.750
Bi1 Bi 0.250 0.250 0.250
# Energy of formation from the pure elements in kJ per mole of atoms: -44.92


# PBE-GGA La5Pb3, relaxed
data_La5Pb3
_cell_length_a 9.6186
_cell_length_b 9.6186
_cell_length_c 7.0477
_cell_angle_alpha 90.00
_cell_angle_beta 90.00
_cell_angle_gamma 120.00
_space_group_name_H-M_alt 'P 63/m c m'
_space_group_IT_number 193
_space_group_name_Hall '-P 6c 2'
loop_
_atom_site_label
_atom_site_type_symbol
_atom_site_fract_x
_atom_site_fract_y
_atom_site_fract_z
La1 La 0.0000 0.2430 0.2500
La2 La 0.3333 0.6667 0.0000
Pb1 Pb 0.0000 0.3923 0.7500
# Energy relative to the lowest polymorph listed for this composition in meV/atom: 0
# Energy of formation from the pure elements in kJ per mole of atoms: -54.08


# PBE-GGA La3Pm, relaxed
data_La3Pm
_cell_length_a 3.739
_cell_length_b 12.105
_cell_length_c 6.480
_cell_angle_alpha 90.00
_cell_angle_beta 90.00
_cell_angle_gamma 90.00
_space_group_name_H-M_alt 'I m m 2'
_space_group_IT_number 44
_space_group_name_Hall 'I 2 -2'
loop_
_atom_site_label
_atom_site_type_symbol
_atom_site_fract_x
_atom_site_fract_y
_atom_site_fract_z
La1 La 0.000 0.000 0.000
La2 La 0.000 0.250 0.671
Pm1 Pm 0.000 0.500 0.000
# Energy of formation from the pure elements in kJ per mole of atoms: 3.19


# PBE-GGA BaCa2Zr, relaxed
data_BaCa2Zr
_cell_length_a 3.898
_cell_length_b 6.241
_cell_length_c 12.403
_cell_angle_alpha 90.00
_cell_angle_beta 90.00
_cell_angle_gamma 90.00
_space_group_name_H-M_alt 'I m m 2'
_space_group_IT_number 44
_space_group_name_Hall 'I 2 -2'
loop_
_atom_site_label
_atom_site_type_symbol
_atom_site_fract_x
_atom_site_fract_y
_atom_site_fract_z
Ba1 Ba 0.000 0.000 0.000
Ca1 Ca 0.000 0.000 0.539
Ca2 Ca 0.000 0.500 0.776
Zr1 Zr 0.000 0.500 0.260
# Energy relative to the lowest polymorph listed for this composition in meV/atom: 121
# Energy of formation from the pure elements in kJ per mole of atoms: 43.16